The following is a PBE calculation of Al2InAg2 after structural relaxation, from Alexandria.

The structure in POSCAR format:
```
Al2InAg2
1.0
-0.2557 2.3341 -3.2225
2.0814 -2.6737 -2.1017
-4.5186 -3.0800 -4.3390
Al Ag In
2 2 1
Direct
0.3977 0.3977 0.2046
0.6023 0.6023 0.7954
0.7500 0.2500 0.5000
0.2500 0.7500 0.5000
0.0000 0.0000 0.0000
```

Output
relative energy among the computed polymorphs = 74 meV per atom

---

The following is a PBE calculation of AlIn2Ag6 after structural relaxation, from Alexandria.

The structure in POSCAR format:
```
AlIn2Ag6
1.0
-2.9658 -0.9880 3.4323
0.9342 -8.2207 -1.5591
6.5924 -0.3145 5.6066
Al In Ag
2 4 12
Direct
0.5000 0.5000 0.0000
0.0000 0.0000 0.5000
0.0000 0.3235 0.7673
0.5000 0.8235 0.7327
0.5000 0.1765 0.2673
0.0000 0.6765 0.2327
0.0000 0.0088 0.1679
0.0000 0.6722 0.5634
0.0000 0.6523 0.9011
0.5000 0.1523 0.5989
0.5000 0.1722 0.9366
0.5000 0.5088 0.3321
0.0000 0.9912 0.8321
0.0000 0.3278 0.4366
0.0000 0.3477 0.0989
0.5000 0.8477 0.4011
0.5000 0.8278 0.0634
0.5000 0.4912 0.6679
```

Output
relative energy among the computed polymorphs = 5 meV per atom

---

The following is a PBE calculation of Al2InAg8 after structural relaxation, from Alexandria.

The structure in POSCAR format:
```
Al2InAg8
1.0
-1.1069 -4.7646 0.0339
3.7287 -0.1434 4.7466
-6.6564 3.7495 1.7546
Al In Ag
2 1 8
Direct
0.7271 0.5779 0.2291
0.4548 0.2401 0.5891
0.0901 0.9086 0.9091
0.8300 0.2986 0.9229
0.9281 0.0007 0.5492
0.2794 0.3451 0.2810
0.7119 0.0286 0.1625
0.2538 0.8173 0.2689
0.9026 0.4729 0.5372
0.3525 0.5201 0.8953
0.4696 0.7900 0.6557
```

Output
relative energy among the computed polymorphs = 0 meV per atom

---

The following is a PBE calculation of Al2InAg7 after structural relaxation, from Alexandria.

The structure in POSCAR format:
```
Al2InAg7
1.0
-3.7203 -2.5367 -1.2134
2.6294 -5.7702 4.0016
-4.4960 5.0241 3.2813
Al In Ag
2 1 7
Direct
0.5000 0.6987 0.3013
0.5000 0.3013 0.6987
0.0000 0.0000 0.0000
0.0000 0.7830 0.2170
0.0000 0.2170 0.7830
0.5000 0.0684 0.3021
0.5000 0.9316 0.6979
0.5000 0.3021 0.0684
0.5000 0.6979 0.9316
0.5000 0.5000 0.5000
```

---

The following is a PBE calculation of AlIn2Ag8 after structural relaxation, from Alexandria.

The structure in POSCAR format:
```
AlIn2Ag8
1.0
-3.8359 2.5890 -0.0517
-4.2843 -6.3791 -1.5714
3.4566 1.1149 6.5170
Al In Ag
1 2 8
Direct
0.5000 0.0000 0.0000
0.1653 0.6746 0.3307
0.8347 0.3254 0.6693
0.5658 0.7387 0.1316
0.3187 0.5272 0.6375
0.1905 0.0618 0.3809
0.0537 0.2257 0.1075
0.8095 0.9382 0.6191
0.6813 0.4728 0.3625
0.4342 0.2613 0.8684
0.9463 0.7743 0.8925
```

Output
relative energy among the computed polymorphs = 0 meV per atom

---

The following is a PBE calculation of AlIn2Ag6 after structural relaxation, from Alexandria.

The structure in POSCAR format:
```
AlIn2Ag6
1.0
-0.9623 -4.8609 -0.0186
0.5773 -1.5009 8.5113
-7.8659 0.1892 3.6220
Al In Ag
2 4 12
Direct
0.2500 0.1312 0.8688
0.7500 0.8688 0.1312
0.4261 0.5411 0.7955
0.0739 0.2045 0.4589
0.5739 0.4589 0.2045
0.9261 0.7955 0.5411
0.4744 0.6838 0.4260
0.0256 0.5740 0.3162
0.5256 0.3162 0.5740
0.9744 0.4260 0.6838
0.6268 0.0915 0.3389
0.8732 0.6611 0.9085
0.3732 0.9085 0.6611
0.1268 0.3389 0.0915
0.3046 0.7872 0.0103
0.1954 0.9897 0.2128
0.6954 0.2128 0.9897
0.8046 0.0103 0.7872
```

Output
relative energy among the computed polymorphs = 0 meV per atom

---

The following is a PBE calculation of Al2InAg2 after structural relaxation, from Alexandria.

The structure in POSCAR format:
```
Al2InAg2
1.0
3.9650 0.0000 0.0000
0.0000 3.9650 0.0000
1.9825 1.9825 6.4213
Al Ag In
2 2 1
Direct
0.7500 0.2500 0.5000
0.2500 0.7500 0.5000
0.3904 0.3904 0.2191
0.6096 0.6096 0.7809
0.0000 0.0000 0.0000
```

Output
relative energy among the computed polymorphs = 28 meV per atom

---

The following is a PBE calculation of Al3InAg after structural relaxation, from Alexandria.

The structure in POSCAR format:
```
Al3InAg
1.0
4.9418 0.0000 0.0000
0.0000 4.9418 0.0000
0.0000 0.0000 4.9418
Al Ag In
3 1 1
Direct
0.0000 0.5000 0.0000
0.0000 0.0000 0.5000
0.5000 0.0000 0.0000
0.0000 0.0000 0.0000
0.5000 0.5000 0.5000
```

Output
relative energy among the computed polymorphs = 0 meV per atom

---

| no. | energy of formation (meV/atom) | raw total energy (eV per atom) | density (g/cm³) |
| --- | --- | --- | --- |
| 1 | 113 | -3.07 | 6.29 |
| 2 | 12 | -2.91 | 8.87 |
| 3 | -12 | -3.02 | 8.48 |
| 4 | 203 | -2.82 | 6.72 |
| 5 | -12 | -2.92 | 8.85 |
| 6 | 7 | -2.92 | 8.76 |
| 7 | 67 | -3.12 | 6.32 |
| 8 | 435 | -2.93 | 4.18 |